Crystalline NaCuAgGe at its relaxed geometry. Source: the Alexandria database, functional PBE-GGA.

Final energy   -3.116 eV per atom
SG   No. 216

Cell lengths 4.596, 4.596, 4.596 Å; angles 60.00, 60.00, 60.00 degrees
Fractional positions:
Na 0.750 0.750 0.750
Ge 0.250 0.250 0.250
Cu 0.500 0.500 0.500
Ag 0.000 0.000 0.000